{
  "formula": "SiSbP2",
  "functional": "GGA-PBE",
  "state": "optimized geometry",
  "de_polymorph_mev_per_atom": 379,
  "total_energy_ev_per_atom": -4.596,
  "lattice_angstrom": [[3.117, 0.003, 0.000], [-0.003, 3.117, 0.000], [0.000, 0.000, 7.883]],
  "species": ["P", "Sb", "Si", "P"],
  "fractional_positions": [[0.500, 0.500, 0.145], [0.000, 0.000, 0.513], [0.500, 0.500, 0.818], [0.000, 0.000, 0.025]]
}

---

{
  "formula": "SiSbP2",
  "functional": "GGA-PBE",
  "state": "optimized geometry",
  "de_polymorph_mev_per_atom": 482,
  "total_energy_ev_per_atom": -4.493,
  "lattice_angstrom": [[0.000, 3.284, 3.284], [3.284, 0.000, 3.284], [3.284, 3.284, 0.000]],
  "species": ["Si", "P", "P", "Sb"],
  "fractional_positions": [[0.000, 0.000, 0.000], [0.250, 0.250, 0.250], [0.750, 0.750, 0.750], [0.500, 0.500, 0.500]]
}

---

{
  "formula": "Si5SbP3",
  "functional": "GGA-PBE",
  "state": "optimized geometry",
  "total_energy_ev_per_atom": -4.771,
  "lattice_angstrom": [[-3.969, 1.370, 5.638], [4.307, -5.556, -0.001], [5.523, 4.281, 2.848]],
  "species": ["P", "P", "P", "P", "Si", "Sb", "Si", "Si", "Si", "P", "Si", "Si", "P", "Si", "Si", "Si", "Si", "Sb"],
  "fractional_positions": [[0.000, 0.408, 0.250], [0.408, 0.408, 0.750], [0.592, 0.000, 0.750], [0.000, 0.592, 0.750], [0.724, 0.000, 0.250], [0.000, 0.000, 0.500], [0.333, 0.667, 0.000], [0.724, 0.724, 0.750], [0.276, 0.000, 0.750], [0.408, 0.000, 0.250], [0.667, 0.333, 0.500], [0.000, 0.276, 0.750], [0.592, 0.592, 0.250], [0.333, 0.667, 0.500], [0.276, 0.276, 0.250], [0.000, 0.724, 0.250], [0.667, 0.333, 0.000], [0.000, 0.000, 0.000]]
}

---

{
  "formula": "SiSbP2",
  "functional": "GGA-PBE",
  "state": "optimized geometry",
  "de_polymorph_mev_per_atom": 365,
  "total_energy_ev_per_atom": -4.610,
  "lattice_angstrom": [[-0.600, 0.895, 3.090], [2.613, -1.919, -0.447], [4.514, 6.374, -0.970]],
  "species": ["Sb", "P", "P", "Si"],
  "fractional_positions": [[0.500, 0.500, 0.250], [0.000, 0.000, 0.948], [0.000, 0.000, 0.552], [0.500, 0.500, 0.750]]
}

---

{
  "formula": "SiSbP2",
  "functional": "GGA-PBE",
  "state": "optimized geometry",
  "de_polymorph_mev_per_atom": 0,
  "total_energy_ev_per_atom": -4.975,
  "lattice_angstrom": [[-1.687, 0.631, 6.376], [1.257, -1.577, 6.311], [1.686, 2.069, 6.064]],
  "species": ["P", "Sb", "Si", "P"],
  "fractional_positions": [[0.486, 0.486, 0.486], [0.250, 0.250, 0.250], [0.750, 0.750, 0.750], [0.014, 0.014, 0.014]]
}

---

{
  "formula": "SiSbP2",
  "functional": "GGA-PBE",
  "state": "optimized geometry",
  "de_polymorph_mev_per_atom": 56,
  "total_energy_ev_per_atom": -4.919,
  "lattice_angstrom": [[3.647, 0.000, 0.000], [0.000, 4.798, -0.022], [0.000, 1.850, 4.909]],
  "species": ["Si", "P", "Sb", "P"],
  "fractional_positions": [[0.500, 0.727, 0.851], [0.500, 0.301, 0.234], [0.000, 0.483, 0.495], [0.000, 0.989, 0.919]]
}

---

{
  "formula": "Si4SbP",
  "functional": "GGA-PBE",
  "state": "optimized geometry",
  "total_energy_ev_per_atom": -4.543,
  "lattice_angstrom": [[-0.978, -5.118, -0.608], [-4.430, -1.565, -2.333], [0.172, -2.154, -4.780]],
  "species": ["Si", "Si", "P", "Si", "Sb", "Si"],
  "fractional_positions": [[0.376, 0.871, 0.376], [0.871, 0.376, 0.376], [0.750, 0.750, 0.750], [0.376, 0.376, 0.871], [0.000, 0.000, 0.000], [0.376, 0.376, 0.376]]
}

---

{
  "formula": "TaSi2SbP",
  "functional": "GGA-PBE",
  "state": "optimized geometry",
  "total_energy_ev_per_atom": -5.373,
  "lattice_angstrom": [[4.419, 0.000, 0.000], [0.000, 5.149, 0.000], [0.000, 0.000, 4.419]],
  "species": ["Ta", "Sb", "P", "Si", "Si"],
  "fractional_positions": [[0.500, 0.500, 0.500], [0.000, 0.500, 0.000], [0.000, 0.000, 0.000], [0.500, 0.000, 0.000], [0.000, 0.000, 0.500]]
}

---

{
  "formula": "TaSiSbP2",
  "functional": "GGA-PBE",
  "state": "optimized geometry",
  "total_energy_ev_per_atom": -4.727,
  "lattice_angstrom": [[-0.345, -4.041, 2.678], [3.872, -1.908, -2.380], [2.988, 1.937, 3.307]],
  "species": ["Sb", "Ta", "Si", "P", "P"],
  "fractional_positions": [[0.000, 0.000, 0.000], [0.500, 0.500, 0.500], [0.000, 0.500, 0.000], [0.000, 0.000, 0.500], [0.500, 0.000, 0.000]]
}

---

{
  "formula": "Sm5Sb4P",
  "functional": "GGA-PBE",
  "state": "optimized geometry",
  "de_polymorph_mev_per_atom": 0,
  "total_energy_ev_per_atom": -5.772,
  "lattice_angstrom": [[6.241, 0.000, 0.000], [3.120, 6.953, 0.000], [3.120, 0.000, 6.953]],
  "species": ["Sm", "Sm", "Sm", "Sb", "Sm", "Sb", "P", "Sm", "Sb", "Sb"],
  "fractional_positions": [[0.285, 0.813, 0.619], [0.501, 0.000, 0.000], [0.098, 0.619, 0.187], [0.199, 0.208, 0.397], [0.717, 0.187, 0.381], [0.406, 0.397, 0.792], [0.001, 0.000, 0.000], [0.904, 0.381, 0.813], [0.803, 0.792, 0.603], [0.596, 0.603, 0.208]]
}

---

{
  "formula": "Sm3Sb2P",
  "functional": "GGA-PBE",
  "state": "optimized geometry",
  "de_polymorph_mev_per_atom": 0,
  "total_energy_ev_per_atom": -5.900,
  "lattice_angstrom": [[-2.842, 2.001, 2.539], [-1.751, -5.446, 2.332], [6.869, 2.263, 2.259]],
  "species": ["Sm", "Sb", "Sm", "Sm", "Sb", "P"],
  "fractional_positions": [[0.652, 0.652, 0.303], [0.329, 0.829, 0.657], [0.000, 0.000, 0.000], [0.348, 0.348, 0.697], [0.671, 0.171, 0.343], [0.000, 0.500, 0.000]]
}

---

{
  "formula": "Sm5Sb4P",
  "functional": "GGA-PBE",
  "state": "optimized geometry",
  "de_polymorph_mev_per_atom": 5,
  "total_energy_ev_per_atom": -5.767,
  "lattice_angstrom": [[-2.605, 1.588, -3.184], [-3.336, -2.464, 1.499], [-1.397, 12.046, 10.205]],
  "species": ["Sm", "Sm", "Sb", "Sb", "Sm", "P", "Sm", "Sb", "Sb", "Sm"],
  "fractional_positions": [[0.300, 0.300, 0.599], [0.907, 0.907, 0.814], [0.197, 0.197, 0.395], [0.599, 0.599, 0.198], [0.700, 0.700, 0.401], [0.000, 0.000, 0.000], [0.093, 0.093, 0.186], [0.803, 0.803, 0.605], [0.401, 0.401, 0.802], [0.500, 0.500, 0.000]]
}